Density functional theory data (PBE-GGA) for a relaxed structure of PrY3Er5.

Lattice parameters (Å, degrees): 10.043 10.043 11.308 67.62 67.62 34.92
Last column: magnetic moment on the atom in μB.
Fractional positions:
Pr: 0.906 0.094 0.750  0.04
Pr: 0.094 0.906 0.250  0.04
Y: 0.000 0.000 0.000  0.06
Y: 0.058 0.587 0.362  0.00
Y: 0.000 0.000 0.500  0.06
Y: 0.942 0.413 0.638  0.00
Y: 0.587 0.058 0.862  0.00
Y: 0.413 0.942 0.138  0.00
Er: 0.411 0.589 0.750  -0.01
Er: 0.918 0.422 0.971  0.01
Er: 0.579 0.095 0.195  0.01
Er: 0.082 0.578 0.029  0.01
Er: 0.905 0.421 0.305  0.01
Er: 0.589 0.411 0.250  -0.01
Er: 0.422 0.918 0.471  0.01
Er: 0.578 0.082 0.529  0.01
Er: 0.095 0.579 0.695  0.01
Er: 0.421 0.905 0.805  0.01

ΔE to the lowest computed polymorph: 0 meV/atom
Energy relative to the elements: 3.1 eV/f.u.
Calculated volume: 599 Å³ per cell
Spin magnetization: 0.282 μB per cell

Density functional theory data (PBE-GGA) for a relaxed structure of PrY2Er8.

Lattice parameters (Å, degrees): 5.469 8.064 9.342 115.56 107.02 90.00
Fractional positions:
Pr: 0.500 0.000 0.000
Y: 0.200 0.700 0.400
Y: 0.800 0.300 0.600
Er: 0.639 0.846 0.279
Er: 0.361 0.567 0.721
Er: 0.163 0.163 0.327
Er: 0.000 0.295 0.000
Er: 0.837 0.837 0.673
Er: 0.639 0.433 0.279
Er: 0.361 0.154 0.721
Er: 0.000 0.705 0.000

ΔE to the lowest computed polymorph: 0 meV/atom
Energy relative to the elements: 1.3 eV/f.u.
Calculated volume: 352 Å³ per cell
Spin magnetization: 0.000 μB per cell

Density functional theory data (PBE-GGA) for a relaxed structure of Pr4Y2Er5.

Lattice parameters (Å, degrees): 5.685 6.645 10.041 91.00 106.44 90.00
Fractional positions:
Pr: 0.306 0.927 0.612
Pr: 0.979 0.714 0.958
Pr: 0.694 0.073 0.388
Pr: 0.021 0.286 0.042
Y: 0.401 0.444 0.802
Y: 0.599 0.556 0.198
Er: 0.791 0.598 0.582
Er: 0.209 0.402 0.418
Er: 0.870 0.112 0.739
Er: 0.500 0.000 0.000
Er: 0.130 0.888 0.261

ΔE to the lowest computed polymorph: 0 meV/atom
Energy relative to the elements: 1.1 eV/f.u.
Calculated volume: 364 Å³ per cell
Spin magnetization: 0.000 μB per cell

Density functional theory data (PBE-GGA) for a relaxed structure of Pr4Y3Er2.

Lattice parameters (Å, degrees): 3.662 6.734 14.621 64.38 90.00 105.78
Fractional positions:
Pr: 0.649 0.298 0.128
Pr: 0.111 0.221 0.608
Pr: 0.889 0.779 0.392
Pr: 0.351 0.702 0.872
Y: 0.381 0.761 0.612
Y: 0.000 0.000 0.000
Y: 0.619 0.239 0.388
Er: 0.339 0.678 0.209
Er: 0.661 0.322 0.791

ΔE to the lowest computed polymorph: 42 meV/atom
Energy relative to the elements: 0.8 eV/f.u.
Calculated volume: 310 Å³ per cell
Spin magnetization: 0.000 μB per cell

Density functional theory data (PBE-GGA) for a relaxed structure of Pr14YEr.

Lattice parameters (Å, degrees): 7.385 7.385 10.451 90.00 90.00 90.02
Fractional positions:
Pr: 0.375 0.625 0.500
Pr: 0.875 0.125 0.500
Pr: 0.875 0.625 0.000
Pr: 0.875 0.625 0.500
Pr: 0.375 0.125 0.000
Pr: 0.375 0.125 0.500
Pr: 0.626 0.876 0.753
Pr: 0.626 0.876 0.247
Pr: 0.124 0.374 0.753
Pr: 0.124 0.374 0.247
Pr: 0.124 0.876 0.753
Pr: 0.124 0.876 0.247
Pr: 0.626 0.374 0.752
Pr: 0.626 0.374 0.248
Y: 0.375 0.625 0.000
Er: 0.875 0.125 0.000

Energy relative to the elements: 0.2 eV/f.u.
Calculated volume: 570 Å³ per cell
Spin magnetization: 0.000 μB per cell

Density functional theory data (PBE-GGA) for a relaxed structure of Pr2Y4Er5.

Lattice parameters (Å, degrees): 3.688 9.944 12.658 123.82 81.64 111.77
Fractional positions:
Pr: 0.889 0.274 0.770
Pr: 0.111 0.726 0.230
Y: 0.751 0.423 0.343
Y: 0.321 0.350 0.058
Y: 0.249 0.577 0.657
Y: 0.679 0.650 0.942
Er: 0.926 0.044 0.237
Er: 0.074 0.956 0.763
Er: 0.576 0.826 0.498
Er: 0.500 0.000 0.000
Er: 0.424 0.174 0.502

ΔE to the lowest computed polymorph: 0 meV/atom
Energy relative to the elements: 0.7 eV/f.u.
Calculated volume: 357 Å³ per cell
Spin magnetization: 0.000 μB per cell

Density functional theory data (PBE-GGA) for a relaxed structure of Pr15Y4Er.

Lattice parameters (Å, degrees): 5.207 5.207 25.905 90.00 90.00 90.00
Fractional positions:
Pr: 0.500 0.500 0.000
Pr: 0.500 0.500 0.199
Pr: 0.500 0.500 0.400
Pr: 0.500 0.500 0.600
Pr: 0.500 0.500 0.801
Pr: 0.500 0.000 0.099
Pr: 0.500 0.000 0.300
Pr: 0.500 0.000 0.500
Pr: 0.500 0.000 0.700
Pr: 0.500 0.000 0.901
Pr: 0.000 0.500 0.099
Pr: 0.000 0.500 0.300
Pr: 0.000 0.500 0.500
Pr: 0.000 0.500 0.700
Pr: 0.000 0.500 0.901
Y: 0.000 0.000 0.200
Y: 0.000 0.000 0.400
Y: 0.000 0.000 0.600
Y: 0.000 0.000 0.800
Er: 0.000 0.000 0.000

Energy relative to the elements: 0.1 eV/f.u.
Calculated volume: 702 Å³ per cell
Spin magnetization: 0.000 μB per cell

Density functional theory data (PBE-GGA) for a relaxed structure of PrY15Er4.

Lattice parameters (Å, degrees): 5.042 5.042 25.227 90.00 90.00 90.00
Fractional positions:
Pr: 0.000 0.000 0.000
Y: 0.500 0.500 0.000
Y: 0.500 0.500 0.202
Y: 0.500 0.500 0.401
Y: 0.500 0.500 0.599
Y: 0.500 0.500 0.798
Y: 0.500 0.000 0.102
Y: 0.500 0.000 0.301
Y: 0.500 0.000 0.500
Y: 0.500 0.000 0.699
Y: 0.500 0.000 0.898
Y: 0.000 0.500 0.102
Y: 0.000 0.500 0.301
Y: 0.000 0.500 0.500
Y: 0.000 0.500 0.699
Y: 0.000 0.500 0.898
Er: 0.000 0.000 0.201
Er: 0.000 0.000 0.401
Er: 0.000 0.000 0.599
Er: 0.000 0.000 0.799

Energy relative to the elements: 0.5 eV/f.u.
Calculated volume: 641 Å³ per cell
Spin magnetization: 0.000 μB per cell

Density functional theory data (PBE-GGA) for a relaxed structure of PrY3Er2.

Lattice parameters (Å, degrees): 6.322 7.249 9.965 111.36 108.49 90.00
Fractional positions:
Pr: 0.747 0.250 0.000
Pr: 0.253 0.750 0.000
Y: 0.758 0.750 0.000
Y: 0.242 0.250 0.000
Y: 0.814 0.065 0.629
Y: 0.185 0.435 0.371
Y: 0.815 0.565 0.629
Y: 0.186 0.935 0.371
Er: 0.355 0.355 0.710
Er: 0.355 0.855 0.710
Er: 0.645 0.145 0.290
Er: 0.645 0.645 0.290

ΔE to the lowest computed polymorph: 23 meV/atom
Energy relative to the elements: 0.9 eV/f.u.
Calculated volume: 400 Å³ per cell
Spin magnetization: 0.000 μB per cell

Density functional theory data (PBE-GGA) for a relaxed structure of Pr2YEr5.

Lattice parameters (Å, degrees): 9.878 6.571 10.764 119.36 117.31 90.00
Fractional positions:
Pr: 0.175 0.458 0.842
Pr: 0.667 0.958 0.842
Pr: 0.825 0.542 0.158
Pr: 0.333 0.042 0.158
Y: 0.000 0.000 0.500
Y: 0.500 0.500 0.500
Er: 0.486 0.446 0.798
Er: 0.941 0.750 0.000
Er: 0.059 0.250 0.000
Er: 0.890 0.630 0.605
Er: 0.110 0.370 0.395
Er: 0.714 0.130 0.605
Er: 0.286 0.870 0.395
Er: 0.514 0.554 0.202
Er: 0.312 0.946 0.798
Er: 0.688 0.054 0.202

ΔE to the lowest computed polymorph: 146 meV/atom
Energy relative to the elements: 1.4 eV/f.u.
Calculated volume: 518 Å³ per cell
Spin magnetization: 0.009 μB per cell

Density functional theory data (PBE-GGA) for a relaxed structure of Pr4Y2Er3.

Lattice parameters (Å, degrees): 6.469 9.752 9.752 89.89 86.96 86.96
Fractional positions:
Pr: 0.387 0.903 0.312
Pr: 0.113 0.688 0.097
Pr: 0.613 0.097 0.688
Pr: 0.887 0.312 0.903
Pr: 0.106 0.188 0.555
Pr: 0.394 0.445 0.812
Pr: 0.894 0.812 0.445
Pr: 0.606 0.555 0.188
Y: 0.550 0.232 0.348
Y: 0.950 0.652 0.768
Y: 0.450 0.768 0.652
Y: 0.050 0.348 0.232
Er: 0.908 0.028 0.162
Er: 0.592 0.838 0.972
Er: 0.092 0.972 0.838
Er: 0.408 0.162 0.028
Er: 0.250 0.533 0.467
Er: 0.750 0.467 0.533

ΔE to the lowest computed polymorph: 3 meV/atom
Energy relative to the elements: 0.8 eV/f.u.
Calculated volume: 614 Å³ per cell
Spin magnetization: 0.000 μB per cell

Density functional theory data (PBE-GGA) for a relaxed structure of Pr5Y6Er.

Lattice parameters (Å, degrees): 11.929 6.291 6.289 59.99 84.98 79.92
Fractional positions:
Pr: 0.500 0.167 0.666
Pr: 0.000 0.334 0.333
Pr: 0.500 0.500 0.000
Pr: 0.000 0.666 0.667
Pr: 0.500 0.833 0.334
Y: 0.751 0.083 0.333
Y: 0.249 0.584 0.333
Y: 0.249 0.249 0.000
Y: 0.751 0.751 0.000
Y: 0.751 0.416 0.667
Y: 0.249 0.917 0.667
Er: 0.000 0.000 0.000

Energy relative to the elements: 0.1 eV/f.u.
Calculated volume: 402 Å³ per cell
Spin magnetization: 0.000 μB per cell